Run 1
Computed, not measured: crystalline BeCoI2O at its relaxed geometry at the PBE with a Hubbard U level of DFT.

Values from the calculation:
As for the density of states at the Fermi level: 2.08 states/eV per cell. Its symmetry is P4/mmm.

```
BeCoI2O
1.0
6.302 0.000 0.000
0.000 6.302 0.000
0.000 0.000 2.936
Be Co I O
1 1 2 1
Cartesian
0.000 0.000 0.000
3.151 3.151 1.468
0.000 3.151 0.000
3.151 0.000 0.000
0.000 0.000 1.468
```


Run 2
Computed, not measured: crystalline BeCoI2O at its relaxed geometry at the PBE with a Hubbard U level of DFT.

Values from the calculation:
As for the density of states at the Fermi level: 2.89 states/eV per cell. Its symmetry is P4/mmm.

```
BeCoI2O
1.0
5.517 0.000 0.000
0.000 5.517 0.000
0.000 0.000 3.601
Be Co I O
1 1 2 1
Cartesian
0.000 0.000 0.000
2.759 2.759 1.801
0.000 2.759 1.801
2.759 0.000 1.801
2.759 2.759 0.000
```


Stability ranking, top and bottom: run 1 is the most stable and run 2 is the least stable.